Arrangement i

This record from the Alexandria database describes crystalline Sc3Ru2 at its relaxed geometry. The functional is PBE.

Cell: 8.2992 7.3373 5.5167 Å, 79.04 60.22 40.74°
Closest atoms and distances in Å follow each position.
Element x y z (fractional)
1 Sc 0.0122 0.0122 0.2378  3 Ru 2.60-2.87, 2 Sc 2.78
2 Sc 0.2378 0.2378 0.0122  3 Ru 2.60-2.87, 2 Sc 2.78
3 Sc 0.3750 0.3750 0.3750  6 Ru 2.66-2.85
4 Sc 0.6250 0.6250 0.6250  6 Ru 2.66-2.85
5 Sc 0.7622 0.7622 0.9878  3 Ru 2.60-2.87, 2 Sc 2.78
6 Sc 0.9878 0.9878 0.7622  3 Ru 2.60-2.87, 2 Sc 2.78
7 Ru 0.1790 0.1790 0.5710  6 Sc 2.60-2.87
8 Ru 0.4290 0.4290 0.8210  6 Sc 2.60-2.87
9 Ru 0.5710 0.5710 0.1790  6 Sc 2.60-2.87
10 Ru 0.8210 0.8210 0.4290  6 Sc 2.60-2.87

## Properties
SG: Fddd (70)
Size of the total moment: 0.00 μB/f.u.

Arrangement ii

This record from the Alexandria database describes crystalline Sc3Ru2 at its relaxed geometry. The functional is PBE.

Cell: 3.2265 3.2265 31.9210 Å, 90.00 90.00 120.00°
Closest atoms and distances in Å follow each position.
Element x y z (fractional)
1 Sc 0.0000 0.0000 0.0000  6 Ru 2.74
2 Sc 0.0000 0.0000 0.2134  3 Ru 2.61
3 Sc 0.0000 0.0000 0.7866  3 Ru 2.61
4 Sc 0.3333 0.6667 0.4532  3 Ru 2.61
5 Sc 0.3333 0.6667 0.6667  6 Ru 2.74
6 Sc 0.3333 0.6667 0.8801  3 Ru 2.61
7 Sc 0.6667 0.3333 0.1199  3 Ru 2.61
8 Sc 0.6667 0.3333 0.3333  6 Ru 2.74
9 Sc 0.6667 0.3333 0.5468  3 Ru 2.61
10 Ru 0.0000 0.0000 0.3961  6 Sc 2.61-2.74
11 Ru 0.0000 0.0000 0.6039  6 Sc 2.61-2.74
12 Ru 0.3333 0.6667 0.0628  6 Sc 2.61-2.74
13 Ru 0.3333 0.6667 0.2706  6 Sc 2.61-2.74
14 Ru 0.6667 0.3333 0.7294  6 Sc 2.61-2.74
15 Ru 0.6667 0.3333 0.9372  6 Sc 2.61-2.74

## Properties
SG: R-3m (166)
Size of the total moment: 0.00 μB/f.u.

On energetic grounds, arrangement i is preferred over the next structure by 0.111 eV/atom.

Arrangement i

This record from the Alexandria database describes crystalline Sc3Ru2 at its relaxed geometry. The functional is PBE.

Cell: 3.2294 3.2294 17.5416 Å, 90.00 90.00 90.00°
Closest atoms and distances in Å follow each position.
Element x y z (fractional)
1 Sc 0.0000 0.0000 0.0000  8 Ru 2.79
2 Sc 0.0000 0.0000 0.1802  8 Ru 2.76-2.86
3 Sc 0.0000 0.0000 0.3590  4 Ru 2.69
4 Sc 0.0000 0.0000 0.6410  4 Ru 2.69
5 Sc 0.0000 0.0000 0.8198  8 Ru 2.76-2.86
6 Sc 0.5000 0.5000 0.5000  12 Sc 3.23-3.37
7 Ru 0.5000 0.5000 0.0917  8 Sc 2.76-2.79
8 Ru 0.5000 0.5000 0.2779  8 Sc 2.69-2.86
9 Ru 0.5000 0.5000 0.7221  8 Sc 2.69-2.86
10 Ru 0.5000 0.5000 0.9083  8 Sc 2.76-2.79

## Properties
SG: P4/mmm (123)
Size of the total moment: 0.25 μB/f.u.

Arrangement ii

This record from the Alexandria database describes crystalline Sc3Ru2 at its relaxed geometry. The functional is PBE.

Cell: 4.5656 4.5656 5.3984 Å, 90.00 90.00 120.00°
Closest atoms and distances in Å follow each position.
Element x y z (fractional)
1 Sc 0.0000 0.0000 0.0000  6 Ru 2.77
2 Sc 0.3333 0.6667 0.3447  5 Ru 2.70-2.83
3 Sc 0.6667 0.3333 0.6553  5 Ru 2.70-2.83
4 Ru 0.3333 0.6667 0.8450  8 Sc 2.70-2.83
5 Ru 0.6667 0.3333 0.1550  8 Sc 2.70-2.83

## Properties
SG: P-3m1 (164)
Size of the total moment: 0.00 μB/f.u.

On energetic grounds, arrangement i is preferred over the next structure by 0.101 eV/atom.

Arrangement i

This record from the Alexandria database describes crystalline Sc4Ru at its relaxed geometry. The functional is PBE.

Cell: 5.0013 5.0013 5.0013 Å, 90.00 90.00 90.00°
Closest atoms and distances in Å follow each position.
Element x y z (fractional)
1 Sc 0.0000 0.0000 0.0000  12 Sc 3.54
2 Sc 0.0000 0.5000 0.5000  2 Ru 2.50
3 Sc 0.5000 0.0000 0.5000  2 Ru 2.50
4 Sc 0.5000 0.5000 0.0000  2 Ru 2.50
5 Ru 0.5000 0.5000 0.5000  6 Sc 2.50

## Properties
SG: Pm-3m (221)
Size of the total moment: 0.00 μB/f.u.

Arrangement ii

This record from the Alexandria database describes crystalline Sc4Ru at its relaxed geometry. The functional is PBE.

Cell: 6.3948 6.3948 5.1898 Å, 90.00 90.00 90.00°
Closest atoms and distances in Å follow each position.
Element x y z (fractional)
1 Sc 0.1465 0.3143 0.0000  1 Ru 2.55
2 Sc 0.1857 0.6465 0.5000  1 Ru 2.55
3 Sc 0.3143 0.8535 0.0000  1 Ru 2.55
4 Sc 0.3535 0.1857 0.5000  1 Ru 2.55
5 Sc 0.6465 0.8143 0.5000  1 Ru 2.55
6 Sc 0.6857 0.1465 0.0000  1 Ru 2.55
7 Sc 0.8143 0.3535 0.5000  1 Ru 2.55
8 Sc 0.8535 0.6857 0.0000  1 Ru 2.55
9 Ru 0.0000 0.0000 0.5000  4 Sc 2.55
10 Ru 0.5000 0.5000 0.0000  4 Sc 2.55

## Properties
SG: I4/m (87)
Size of the total moment: 0.00 μB/f.u.

Arrangement iii

This record from the Alexandria database describes crystalline Sc4Ru at its relaxed geometry. The functional is PBE.

Cell: 6.7391 6.7389 8.3692 Å, 51.61 51.61 76.77°
Closest atoms and distances in Å follow each position.
Element x y z (fractional)
1 Sc 0.1595 0.2566 0.0024  1 Ru 2.55
2 Sc 0.2476 0.6685 0.0905  1 Ru 2.55
3 Sc 0.2566 0.1595 0.5815  1 Ru 2.55
4 Sc 0.2897 0.7103 0.4512  1 Ru 2.55
5 Sc 0.6685 0.2476 0.9934  1 Ru 2.55
6 Sc 0.7012 0.7988 0.5397  1 Ru 2.55
7 Sc 0.7103 0.2897 0.5488  1 Ru 2.55
8 Sc 0.7988 0.7012 0.9603  1 Ru 2.55
9 Ru 0.1031 0.1031 0.3969  4 Sc 2.55
10 Ru 0.8531 0.8531 0.1469  4 Sc 2.55

## Properties
SG: Fdd2 (43)
Size of the total moment: 0.00 μB/f.u.

On energetic grounds, arrangement iii is preferred over the next structure by 0.032 eV/atom.

Arrangement i

This record from the Alexandria database describes crystalline Sc5Ru at its relaxed geometry. The functional is PBE.

Cell: 5.4078 5.4078 5.4048 Å, 90.00 90.00 120.00°
Closest atoms and distances in Å follow each position.
Element x y z (fractional)
1 Sc 0.0000 0.5000 0.0000  4 Sc 2.70
2 Sc 0.3333 0.6667 0.5000  9 Sc 3.12, 3 Ru 3.12
3 Sc 0.5000 0.0000 0.0000  4 Sc 2.70
4 Sc 0.5000 0.5000 0.0000  4 Sc 2.70
5 Sc 0.6667 0.3333 0.5000  9 Sc 3.12, 3 Ru 3.12
6 Ru 0.0000 0.0000 0.5000  6 Sc 3.12

## Properties
SG: P6/mmm (191)
Size of the total moment: 0.00 μB/f.u.

Arrangement ii

This record from the Alexandria database describes crystalline Sc5Ru at its relaxed geometry. The functional is PBE.

Cell: 11.1786 3.3171 7.6682 Å, 90.00 111.75 90.00°
Closest atoms and distances in Å follow each position.
Element x y z (fractional)
1 Sc 0.0000 0.0000 0.0000  12 Sc 3.13-3.49
2 Sc 0.1364 0.5000 0.3656  2 Ru 2.70
3 Sc 0.1643 0.5000 0.7887  2 Ru 2.83, 2 Sc 3.12-3.14
4 Sc 0.3357 0.0000 0.2113  2 Ru 2.83, 2 Sc 3.12-3.14
5 Sc 0.3636 0.0000 0.6344  2 Ru 2.70
6 Sc 0.5000 0.5000 0.0000  12 Sc 3.13-3.49
7 Sc 0.6364 0.0000 0.3656  2 Ru 2.70
8 Sc 0.6643 0.0000 0.7887  2 Ru 2.83, 2 Sc 3.12-3.14
9 Sc 0.8357 0.5000 0.2113  2 Ru 2.83, 2 Sc 3.12-3.14
10 Sc 0.8636 0.5000 0.6344  2 Ru 2.70
11 Ru 0.0000 0.0000 0.5000  8 Sc 2.70-2.83
12 Ru 0.5000 0.5000 0.5000  8 Sc 2.70-2.83

## Properties
SG: C2/m (12)
Size of the total moment: 0.00 μB/f.u.

On energetic grounds, arrangement ii is preferred over the next structure by 0.862 eV/atom.

Arrangement i

This record from the Alexandria database describes crystalline Sc5Ru4 at its relaxed geometry. The functional is PBE.

Cell: 7.9117 7.9117 5.8695 Å, 90.00 90.00 120.00°
Closest atoms and distances in Å follow each position.
Element x y z (fractional)
1 Sc 0.0000 0.2757 0.2500  5 Ru 2.63-2.72
2 Sc 0.0000 0.7243 0.7500  5 Ru 2.63-2.72
3 Sc 0.2757 0.0000 0.2500  5 Ru 2.63-2.72
4 Sc 0.2757 0.2757 0.7500  5 Ru 2.63-2.72
5 Sc 0.3333 0.6667 0.0000  6 Ru 2.87, 2 Sc 2.93
6 Sc 0.3333 0.6667 0.5000  6 Ru 2.87, 2 Sc 2.93
7 Sc 0.6667 0.3333 0.0000  6 Ru 2.87, 2 Sc 2.93
8 Sc 0.6667 0.3333 0.5000  6 Ru 2.87, 2 Sc 2.93
9 Sc 0.7243 0.0000 0.7500  5 Ru 2.63-2.72
10 Sc 0.7243 0.7243 0.2500  5 Ru 2.63-2.72
11 Ru 0.0000 0.0000 0.0000  6 Sc 2.63, 2 Ru 2.93
12 Ru 0.0000 0.0000 0.5000  6 Sc 2.63, 2 Ru 2.93
13 Ru 0.0000 0.3804 0.7500  7 Sc 2.69-2.87
14 Ru 0.0000 0.6196 0.2500  7 Sc 2.69-2.87
15 Ru 0.3804 0.0000 0.7500  7 Sc 2.69-2.87
16 Ru 0.3804 0.3804 0.2500  7 Sc 2.69-2.87
17 Ru 0.6196 0.0000 0.2500  7 Sc 2.69-2.87
18 Ru 0.6196 0.6196 0.7500  7 Sc 2.69-2.87

## Properties
SG: P6_3/mcm (193)
Size of the total moment: 0.00 μB/f.u.

Arrangement ii

This record from the Alexandria database describes crystalline Sc5Ru4 at its relaxed geometry. The functional is PBE.

Cell: 6.2832 6.2832 6.2832 Å, 98.07 98.07 136.00°
Closest atoms and distances in Å follow each position.
Element x y z (fractional)
1 Sc 0.0000 0.0000 0.0000  4 Ru 2.83, 8 Sc 3.16
2 Sc 0.3192 0.3192 0.6385  2 Ru 2.64, 2 Sc 2.85
3 Sc 0.3192 0.6808 0.0000  2 Ru 2.64, 2 Sc 2.85
4 Sc 0.6808 0.3192 0.0000  2 Ru 2.64, 2 Sc 2.85
5 Sc 0.6808 0.6808 0.3615  2 Ru 2.64, 2 Sc 2.85
6 Ru 0.0000 0.3436 0.3436  1 Ru 2.58, 3 Sc 2.64-2.83
7 Ru 0.0000 0.6564 0.6564  1 Ru 2.58, 3 Sc 2.64-2.83
8 Ru 0.3436 0.0000 0.3436  1 Ru 2.58, 3 Sc 2.64-2.83
9 Ru 0.6564 0.0000 0.6564  1 Ru 2.58, 3 Sc 2.64-2.83

## Properties
SG: I4/mmm (139)
Size of the total moment: 0.00 μB/f.u.

On energetic grounds, arrangement i is preferred over the next structure by 0.246 eV/atom.

Arrangement i

This record from the Alexandria database describes crystalline Sc3Ru4 at its relaxed geometry. The functional is PBE.

Cell: 5.5179 5.5179 4.6161 Å, 90.00 90.00 120.00°
Closest atoms and distances in Å follow each position.
Element x y z (fractional)
1 Sc 0.0000 0.5000 0.0000  4 Sc 2.76, 8 Ru 2.80-2.99
2 Sc 0.5000 0.0000 0.0000  4 Sc 2.76, 8 Ru 2.80-2.99
3 Sc 0.5000 0.5000 0.0000  4 Sc 2.76, 8 Ru 2.80-2.99
4 Ru 0.0000 0.0000 0.2512  2 Ru 2.30-2.32
5 Ru 0.0000 0.0000 0.7488  2 Ru 2.30-2.32
6 Ru 0.3333 0.6667 0.5000  6 Sc 2.80
7 Ru 0.6667 0.3333 0.5000  6 Sc 2.80

## Properties
SG: P6/mmm (191)
Size of the total moment: 0.00 μB/f.u.

Arrangement ii

This record from the Alexandria database describes crystalline Sc3Ru4 at its relaxed geometry. The functional is PBE.

Cell: 3.1790 3.1790 23.7146 Å, 90.00 90.00 90.00°
Closest atoms and distances in Å follow each position.
Element x y z (fractional)
1 Sc 0.0000 0.0000 0.0000  8 Ru 2.74
2 Sc 0.0000 0.0000 0.3036  4 Ru 2.69
3 Sc 0.0000 0.0000 0.6964  4 Ru 2.69
4 Sc 0.5000 0.5000 0.1964  4 Ru 2.69
5 Sc 0.5000 0.5000 0.5000  8 Ru 2.74
6 Sc 0.5000 0.5000 0.8036  4 Ru 2.69
7 Ru 0.0000 0.0000 0.1338  4 Sc 2.69, 4 Ru 2.76
8 Ru 0.0000 0.0000 0.4339  4 Sc 2.74, 4 Ru 2.76
9 Ru 0.0000 0.0000 0.5661  4 Sc 2.74, 4 Ru 2.76
10 Ru 0.0000 0.0000 0.8662  4 Sc 2.69, 4 Ru 2.76
11 Ru 0.5000 0.5000 0.0661  4 Sc 2.74, 4 Ru 2.76
12 Ru 0.5000 0.5000 0.3662  4 Sc 2.69, 4 Ru 2.76
13 Ru 0.5000 0.5000 0.6338  4 Sc 2.69, 4 Ru 2.76
14 Ru 0.5000 0.5000 0.9339  4 Sc 2.74, 4 Ru 2.76

## Properties
SG: I4/mmm (139)
Size of the total moment: 0.00 μB/f.u.

On energetic grounds, arrangement ii is preferred over the next structure by 0.375 eV/atom.